# 1
The following is a DFT calculation (PBE) of an optimized crystal structure of Cd3HgO4.

Cell: 7.427 6.431 5.858 Å, 90.00 90.00 90.00°
Fractional coordinates of all 16 atoms:
1 Cd 0.000 0.166 0.000
2 Cd 0.249 0.667 0.000
3 Cd 0.251 0.333 0.500
4 Cd 0.500 0.834 0.500
5 Cd 0.749 0.333 0.500
6 Cd 0.751 0.667 0.000
7 Hg 0.000 0.833 0.504
8 Hg 0.500 0.167 0.004
9 O 0.000 0.176 0.616
10 O 0.000 0.834 0.104
11 O 0.243 0.338 0.117
12 O 0.257 0.662 0.617
13 O 0.500 0.166 0.604
14 O 0.500 0.824 0.116
15 O 0.743 0.662 0.617
16 O 0.757 0.338 0.117

Properties
The symmetry is Pmn2_1, No. 31. The calculation puts the density of states at the Fermi level at 0.1642 states/eV per atom. The value obtained for the uncorrected energy is -58.666 eV/cell.


# 2
The following is a DFT calculation (PBE) of an optimized crystal structure of FeSiC2.

Cell: 3.521 2.952 3.722 Å, 90.00 90.81 90.00°
Fractional coordinates of all 4 atoms:
1 Fe 0.000 0.000 0.000
2 Si 0.507 0.500 0.199
3 C 0.269 0.000 0.493
4 C 0.508 0.000 0.790

Properties
The symmetry is Pm, No. 6. The calculation puts the density of states at the Fermi level at 0.4062 states/eV per atom. The value obtained for the uncorrected energy is -29.669 eV/cell.


# 3
The following is a DFT calculation (PBE) of an optimized crystal structure of MgBeCr.

Cell: 5.789 5.789 5.789 Å, 90.00 90.00 90.00°
Fractional coordinates of all 12 atoms:
1 Mg 0.000 0.000 0.000
2 Mg 0.000 0.500 0.500
3 Mg 0.500 0.000 0.500
4 Mg 0.500 0.500 0.000
5 Be 0.250 0.250 0.250
6 Be 0.250 0.750 0.750
7 Be 0.750 0.250 0.750
8 Be 0.750 0.750 0.250
9 Cr 0.000 0.000 0.500
10 Cr 0.000 0.500 0.000
11 Cr 0.500 0.000 0.000
12 Cr 0.500 0.500 0.500

Properties
The calculated formation energy is 0.67 eV per atom. The symmetry is F-43m, No. 216. The calculation puts the density of states at the Fermi level at 1.1206 states/eV per atom. The value obtained for the uncorrected energy is -51.714 eV/cell.


# 4
The following is a DFT calculation (PBE) of an optimized crystal structure of Li12Mg5Al2.

Cell: 10.471 10.471 4.688 Å, 102.79 102.79 48.48°
Fractional coordinates of all 19 atoms:
1 Li 0.048 0.579 0.814
2 Li 0.077 0.077 0.076
3 Li 0.129 0.713 0.422
4 Li 0.287 0.871 0.578
5 Li 0.399 0.399 0.898
6 Li 0.421 0.952 0.186
7 Li 0.579 0.048 0.814
8 Li 0.601 0.601 0.102
9 Li 0.713 0.129 0.422
10 Li 0.871 0.287 0.578
11 Li 0.923 0.923 0.924
12 Li 0.952 0.421 0.186
13 Mg 0.207 0.207 0.706
14 Mg 0.313 0.313 0.313
15 Mg 0.500 0.500 0.500
16 Mg 0.687 0.687 0.687
17 Mg 0.793 0.793 0.294
18 Al 0.282 0.718 0.000
19 Al 0.718 0.282 0.000

Properties
The calculated formation energy is -0.04 eV per atom. The symmetry is C2/m, No. 12. The calculation puts the density of states at the Fermi level at 0.2780 states/eV per atom. The value obtained for the uncorrected energy is -39.207 eV/cell.


# 5
The following is a DFT calculation (PBE) of an optimized crystal structure of PrSm5Mg6.

Cell: 8.626 8.626 7.722 Å, 90.00 90.00 143.14°
Fractional coordinates of all 12 atoms:
1 Pr 0.000 0.000 0.000
2 Sm 0.000 0.000 0.500
3 Sm 0.332 0.668 0.000
4 Sm 0.334 0.666 0.500
5 Sm 0.666 0.334 0.500
6 Sm 0.668 0.332 0.000
7 Mg 0.168 0.832 0.253
8 Mg 0.168 0.832 0.747
9 Mg 0.500 0.500 0.252
10 Mg 0.500 0.500 0.748
11 Mg 0.832 0.168 0.253
12 Mg 0.832 0.168 0.747

Properties
The calculated formation energy is -0.10 eV per atom. The symmetry is Cmmm, No. 65. The calculation puts the density of states at the Fermi level at 1.1402 states/eV per atom. The value obtained for the uncorrected energy is -39.199 eV/cell.


# 6
The following is a DFT calculation (PBE) of an optimized crystal structure of YZrAu4.

Cell: 3.673 3.673 8.980 Å, 90.00 90.00 90.00°
Fractional coordinates of all 6 atoms:
1 Y 0.000 0.000 0.000
2 Zr 0.500 0.500 0.500
3 Au 0.000 0.000 0.339
4 Au 0.000 0.000 0.661
5 Au 0.500 0.500 0.173
6 Au 0.500 0.500 0.827

Properties
The calculated formation energy is -0.71 eV per atom. The symmetry is P4/mmm, No. 123. The calculation puts the density of states at the Fermi level at 0.4073 states/eV per atom. The value obtained for the uncorrected energy is -32.392 eV/cell.


# 7
The following is a DFT calculation (PBE) of an optimized crystal structure of Zr2InHRu.

Cell: 4.520 4.520 3.944 Å, 90.00 90.00 90.00°
Fractional coordinates of all 5 atoms:
1 Zr 0.000 0.500 0.000
2 Zr 0.500 0.000 0.000
3 In 0.000 0.000 0.500
4 H 0.500 0.500 0.000
5 Ru 0.500 0.500 0.500

Properties
The symmetry is P4/mmm, No. 123. The calculation puts the density of states at the Fermi level at 0.8708 states/eV per atom. The value obtained for the uncorrected energy is -34.104 eV/cell.